Entry 1:
{"formula": "Ag2OsW", "functional": "PBE-GGA", "state": "optimized geometry", "lattice_angstrom": [[1.403, 0.810, 9.660], [-1.403, 0.810, 9.660], [0.000, -1.620, 9.660]], "species": ["Ag", "Ag", "Os", "W"], "frac_coords": [[0.000, 0.000, 0.000], [0.246, 0.246, 0.246], [0.493, 0.493, 0.493], [0.754, 0.754, 0.754]], "polymorph_energy_mev_per_atom": 0, "space_group": "No. 160"}

Entry 2:
{"formula": "Ag2OsW", "functional": "PBE-GGA", "state": "optimized geometry", "lattice_angstrom": [[2.829, 0.000, 0.000], [0.000, 3.928, 0.000], [0.000, 0.000, 5.952]], "species": ["Ag", "Ag", "Os", "W"], "frac_coords": [[0.000, 0.000, 0.000], [0.500, 0.500, 0.238], [0.000, 0.000, 0.526], [0.500, 0.500, 0.711]], "polymorph_energy_mev_per_atom": 193, "space_group": "No. 25"}

Entry 3:
{"formula": "Ag2OsW", "functional": "PBE-GGA", "state": "optimized geometry", "lattice_angstrom": [[1.430, -2.309, 0.000], [1.430, 2.309, 0.000], [0.000, 0.000, 9.979]], "species": ["Ag", "Ag", "Os", "W"], "frac_coords": [[0.000, 0.000, 0.248], [0.000, 0.000, 0.752], [0.500, 0.500, 0.000], [0.500, 0.500, 0.500]], "polymorph_energy_mev_per_atom": 443, "space_group": "No. 65"}

Entry 4:
{"formula": "Ag2OsW", "functional": "PBE-GGA", "state": "optimized geometry", "lattice_angstrom": [[-1.540, 2.177, 4.884], [1.540, -2.177, 4.884], [1.540, 2.177, -4.884]], "species": ["Ag", "Ag", "Os", "W"], "frac_coords": [[0.248, 0.248, 0.000], [0.752, 0.752, 0.000], [0.000, 0.500, 0.500], [0.500, 0.000, 0.500]], "polymorph_energy_mev_per_atom": 373, "space_group": "No. 71"}

Entry 5:
{"formula": "Ag2OsW", "functional": "PBE-GGA", "state": "optimized geometry", "lattice_angstrom": [[4.590, -1.367, 0.000], [4.590, 1.367, 0.000], [-0.600, 0.000, 5.223]], "species": ["Ag", "Ag", "Os", "W"], "frac_coords": [[0.000, 0.000, 0.000], [0.249, 0.249, 0.785], [0.504, 0.504, 0.482], [0.751, 0.751, 0.299]], "polymorph_energy_mev_per_atom": 331, "space_group": "No. 8"}

Entry 6:
{"formula": "YAgOs2", "functional": "PBE-GGA", "state": "optimized geometry", "lattice_angstrom": [[4.852, -1.493, 0.000], [4.852, 1.493, 0.000], [-1.006, 0.000, 4.965]], "species": ["Y", "Ag", "Os", "Os"], "frac_coords": [[0.000, 0.000, 0.000], [0.500, 0.500, 0.500], [0.243, 0.243, 0.708], [0.757, 0.757, 0.292]], "polymorph_energy_mev_per_atom": 222, "space_group": "No. 12"}

Entry 7:
{"formula": "YAgOs2", "functional": "PBE-GGA", "state": "optimized geometry", "lattice_angstrom": [[-1.998, 1.998, 4.490], [1.998, -1.998, 4.490], [1.998, 1.998, -4.490]], "species": ["Y", "Ag", "Os", "Os"], "frac_coords": [[0.000, 0.000, 0.000], [0.500, 0.500, 0.000], [0.250, 0.750, 0.500], [0.750, 0.250, 0.500]], "polymorph_energy_mev_per_atom": 276, "space_group": "No. 139"}

Entry 8:
{"formula": "Y4AgOs", "functional": "PBE-GGA", "state": "optimized geometry", "lattice_angstrom": [[0.000, 6.788, 6.788], [6.788, 0.000, 6.788], [6.788, 6.788, 0.000]], "species": ["Y", "Y", "Y", "Y", "Y", "Y", "Y", "Y", "Y", "Y", "Y", "Y", "Y", "Y", "Y", "Y", "Ag", "Ag", "Ag", "Ag", "Os", "Os", "Os", "Os"], "frac_coords": [[0.190, 0.190, 0.810], [0.190, 0.810, 0.190], [0.190, 0.810, 0.810], [0.349, 0.349, 0.349], [0.349, 0.349, 0.953], [0.349, 0.953, 0.349], [0.559, 0.559, 0.941], [0.559, 0.941, 0.559], [0.559, 0.941, 0.941], [0.810, 0.190, 0.190], [0.810, 0.190, 0.810], [0.810, 0.810, 0.190], [0.941, 0.559, 0.559], [0.941, 0.559, 0.941], [0.941, 0.941, 0.559], [0.953, 0.349, 0.349], [0.256, 0.581, 0.581], [0.581, 0.256, 0.581], [0.581, 0.581, 0.256], [0.581, 0.581, 0.581], [0.140, 0.140, 0.140], [0.140, 0.140, 0.580], [0.140, 0.580, 0.140], [0.580, 0.140, 0.140]], "polymorph_energy_mev_per_atom": 0, "space_group": "No. 216"}

Entry 9:
{"formula": "Y4AgOs", "functional": "PBE-GGA", "state": "optimized geometry", "lattice_angstrom": [[4.880, 0.000, 0.000], [0.000, 4.880, 0.000], [0.000, 0.000, 7.109]], "species": ["Y", "Y", "Y", "Y", "Ag", "Os"], "frac_coords": [[0.000, 0.500, 0.231], [0.000, 0.500, 0.769], [0.500, 0.000, 0.231], [0.500, 0.000, 0.769], [0.000, 0.000, 0.500], [0.500, 0.500, 0.000]], "polymorph_energy_mev_per_atom": 128, "space_group": "No. 123"}

Entry 10:
{"formula": "YAgOs2", "functional": "PBE-GGA", "state": "optimized geometry", "lattice_angstrom": [[2.925, 0.000, 0.000], [0.000, 2.925, 0.000], [0.000, 0.000, 8.386]], "species": ["Y", "Ag", "Os", "Os"], "frac_coords": [[0.000, 0.000, 0.000], [0.500, 0.500, 0.292], [0.000, 0.000, 0.543], [0.500, 0.500, 0.732]], "polymorph_energy_mev_per_atom": 8, "space_group": "No. 99"}

Entry 11:
{"formula": "YAgOs2", "functional": "PBE-GGA", "state": "optimized geometry", "lattice_angstrom": [[0.000, 3.295, 3.295], [3.295, 0.000, 3.295], [3.295, 3.295, 0.000]], "species": ["Y", "Ag", "Os", "Os"], "frac_coords": [[0.000, 0.000, 0.000], [0.500, 0.500, 0.500], [0.250, 0.250, 0.250], [0.750, 0.750, 0.750]], "polymorph_energy_mev_per_atom": 524, "space_group": "No. 225"}

Entry 12:
{"formula": "Y8AgOs2", "functional": "PBE-GGA", "state": "optimized geometry", "lattice_angstrom": [[4.368, -6.401, 0.000], [4.368, 6.401, 0.000], [-1.412, 0.000, 5.445]], "species": ["Y", "Y", "Y", "Y", "Y", "Y", "Y", "Y", "Ag", "Os", "Os"], "frac_coords": [[0.066, 0.332, 0.591], [0.240, 0.760, 0.000], [0.332, 0.066, 0.591], [0.379, 0.379, 0.199], [0.621, 0.621, 0.801], [0.668, 0.934, 0.409], [0.760, 0.240, 0.000], [0.934, 0.668, 0.409], [0.000, 0.000, 0.000], [0.313, 0.687, 0.500], [0.687, 0.313, 0.500]], "space_group": "No. 12"}

| no. | DOS at the Fermi energy (states/eV per cell) | formation energy from the elements (meV/atom) | raw total energy (eV for the cell shown) |
| --- | --- | --- | --- |
| 1 | 1.11 | 287.0 | -28.74 |
| 2 | 3.06 | 480.0 | -27.97 |
| 3 | 3.05 | 730.1 | -26.96 |
| 4 | 2.79 | 659.9 | -27.25 |
| 5 | 2.83 | 617.8 | -27.41 |
| 6 | 5.04 | 460.2 | -29.93 |
| 7 | 5.95 | 514.2 | -29.72 |
| 8 | 30.58 | -234.1 | -165.37 |
| 9 | 6.75 | -105.7 | -40.57 |
| 10 | 3.32 | 246.6 | -30.79 |
| 11 | 4.77 | 762.6 | -28.72 |
| 12 | 10.77 | -142.1 | -78.59 |